[1]
Here is a relaxed Ba4Pd2Br crystal from the Alexandria database. Energies are from GGA-PBE.

a = 4.6192 Å, b = 4.6192 Å, c = 16.0818 Å
α = 81.74°, β = 81.74°, γ = 60.00°
Fractional coordinates of all 7 atoms:
1 Ba 0.1245 0.1245 0.6264
2 Ba 0.7165 0.7165 0.8504
3 Ba 0.2835 0.2835 0.1496
4 Ba 0.8755 0.8755 0.3736
5 Br 0.0000 0.0000 0.0000
6 Pd 0.4207 0.4207 0.7380
7 Pd 0.5793 0.5793 0.2620

Results
* ΔE_f (raw): -0.83 eV per atom
* distance to the lowest polymorph of the same formula: 0.0000 eV per atom

[2]
Here is a relaxed YTaAu2 crystal from the Alexandria database. Energies are from GGA-PBE.

a = 4.7298 Å, b = 3.3420 Å, c = 5.2804 Å
α = 81.93°, β = 90.00°, γ = 90.00°
Fractional coordinates of all 4 atoms:
1 Au 0.5000 0.1419 0.3085
2 Au 0.0000 0.1646 0.9549
3 Ta 0.0000 0.4835 0.4170
4 Y 0.5000 0.7099 0.8196

Results
* distance to the lowest polymorph of the same formula: 0.0125 eV per atom
* E_form: -90 kJ/mol of formula units

[3]
Here is a relaxed ZnHg2H crystal from the Alexandria database. Energies are from GGA-PBE.

a = 4.6767 Å, b = 4.6767 Å, c = 4.6767 Å
α = 60.00°, β = 60.00°, γ = 60.00°
Last column: magnetic moment on the atom in μB.
Fractional coordinates of all 4 atoms:
1 Hg 0.7500 0.7500 0.7500  0.01
2 Hg 0.2500 0.2500 0.2500  0.01
3 H 0.0000 0.0000 0.0000  0.09
4 Zn 0.5000 0.5000 0.5000  0.01

Results
* distance to the lowest polymorph of the same formula: 0.1727 eV per atom

[4]
Here is a relaxed TaNb3Rh crystal from the Alexandria database. Energies are from GGA-PBE.

a = 8.2212 Å, b = 5.0190 Å, c = 6.3268 Å
α = 124.83°, β = 119.84°, γ = 83.48°
Fractional coordinates of all 10 atoms:
1 Nb 0.8937 0.3510 0.3592
2 Nb 0.7857 0.5317 0.8733
3 Nb 0.2143 0.8683 0.1267
4 Nb 0.5209 0.0221 0.7565
5 Nb 0.4791 0.3778 0.2435
6 Nb 0.1063 0.0490 0.6408
7 Rh 0.1382 0.4701 0.2147
8 Rh 0.8618 0.9300 0.7853
9 Ta 0.6635 0.8693 0.2837
10 Ta 0.3365 0.5307 0.7163

Results
* distance to the lowest polymorph of the same formula: 0.0000 eV per atom
* E_form: -29 kJ/mol of formula units

[5]
Here is a relaxed Ta2Mn2Nb crystal from the Alexandria database. Energies are from GGA-PBE.

a = 7.0693 Å, b = 7.0693 Å, c = 3.1177 Å
α = 90.00°, β = 90.00°, γ = 90.00°
Fractional coordinates of all 10 atoms:
1 Mn 0.6370 0.1370 0.0000
2 Mn 0.3630 0.8630 0.0000
3 Mn 0.1370 0.3630 0.0000
4 Mn 0.8630 0.6370 0.0000
5 Ta 0.3405 0.1595 0.5000
6 Ta 0.8405 0.3405 0.5000
7 Ta 0.6595 0.8405 0.5000
8 Ta 0.1595 0.6595 0.5000
9 Nb 0.0000 0.0000 0.0000
10 Nb 0.5000 0.5000 0.0000

Results
* E_form: 74 kJ/mol of formula units

[6]
Here is a relaxed Eu3CdO crystal from the Alexandria database. Energies are from GGA-PBE.

a = 5.0809 Å, b = 5.0809 Å, c = 5.0809 Å
α = 90.00°, β = 90.00°, γ = 90.00°
Last column: magnetic moment on the atom in μB.
Fractional coordinates of all 5 atoms:
1 O 0.0000 0.0000 0.0000  -0.10
2 Eu 0.0000 0.5000 0.0000  6.96
3 Eu 0.0000 0.0000 0.5000  6.96
4 Eu 0.5000 0.0000 0.0000  6.96
5 Cd 0.5000 0.5000 0.5000  0.05

Results
* ΔE_f (raw): -1.24 eV per atom

[7]
Here is a relaxed LiMg4CuAu2 crystal from the Alexandria database. Energies are from GGA-PBE.

a = 4.6048 Å, b = 4.6048 Å, c = 8.0280 Å
α = 73.33°, β = 73.33°, γ = 60.00°
Fractional coordinates of all 8 atoms:
1 Au 0.2534 0.2534 0.2398
2 Au 0.7466 0.7466 0.7602
3 Mg 0.3784 0.3784 0.8648
4 Mg 0.8708 0.8708 0.3877
5 Mg 0.1292 0.1292 0.6123
6 Mg 0.6216 0.6216 0.1352
7 Cu 0.5000 0.5000 0.5000
8 Li 0.0000 0.0000 0.0000

Results
* E_form: -328 kJ/mol of formula units

[8]
Here is a relaxed Zr2Al5Ga crystal from the Alexandria database. Energies are from GGA-PBE.

a = 4.1191 Å, b = 5.7989 Å, c = 11.6028 Å
α = 90.00°, β = 90.00°, γ = 90.00°
Fractional coordinates of all 16 atoms:
1 Ga 0.0000 0.0000 0.5000
2 Ga 0.0000 0.5000 0.0000
3 Zr 0.5000 0.2470 0.6243
4 Zr 0.5000 0.2530 0.1243
5 Zr 0.5000 0.7470 0.8757
6 Zr 0.5000 0.7530 0.3757
7 Al 0.0000 0.4981 0.7493
8 Al 0.0000 0.0000 0.0000
9 Al 0.5000 0.7535 0.1262
10 Al 0.5000 0.2465 0.8738
11 Al 0.0000 0.9981 0.7507
12 Al 0.0000 0.5000 0.5000
13 Al 0.0000 0.5019 0.2507
14 Al 0.0000 0.0019 0.2493
15 Al 0.5000 0.2535 0.3738
16 Al 0.5000 0.7465 0.6262

Results
* E_form: -355 kJ/mol of formula units

[9]
Here is a relaxed AlIrSe2 crystal from the Alexandria database. Energies are from GGA-PBE.

a = 3.7978 Å, b = 4.7813 Å, c = 4.7697 Å
α = 65.49°, β = 90.00°, γ = 90.00°
Fractional coordinates of all 4 atoms:
1 Se 0.0000 0.9511 0.9525
2 Se 0.0000 0.5489 0.5475
3 Ir 0.5000 0.7500 0.7500
4 Al 0.5000 0.2500 0.2500

Results
* ΔE_f (raw): -0.17 eV per atom

[10]
Here is a relaxed Si2Tc4B crystal from the Alexandria database. Energies are from GGA-PBE.

a = 2.9480 Å, b = 4.3447 Å, c = 15.2222 Å
α = 90.00°, β = 90.00°, γ = 109.83°
Fractional coordinates of all 14 atoms:
1 B 0.4769 0.9537 0.7500
2 B 0.5231 0.0463 0.2500
3 Tc 0.7719 0.5438 0.7500
4 Tc 0.0633 0.1266 0.8458
5 Tc 0.2281 0.4562 0.2500
6 Tc 0.5000 0.0000 0.0000
7 Tc 0.9367 0.8734 0.3458
8 Tc 0.0633 0.1266 0.6542
9 Tc 0.5000 0.0000 0.5000
10 Tc 0.9367 0.8734 0.1542
11 Si 0.7856 0.5711 0.9234
12 Si 0.2144 0.4289 0.0766
13 Si 0.7856 0.5711 0.5766
14 Si 0.2144 0.4289 0.4234

Results
* ΔE_f (raw): -0.29 eV per atom

[11]
Here is a relaxed YTaMo2 crystal from the Alexandria database. Energies are from GGA-PBE.

a = 9.1785 Å, b = 9.1785 Å, c = 9.1785 Å
α = 19.89°, β = 19.89°, γ = 19.89°
Fractional coordinates of all 4 atoms:
1 Mo 0.9904 0.9904 0.9904
2 Mo 0.5096 0.5096 0.5096
3 Ta 0.2500 0.2500 0.2500
4 Y 0.7500 0.7500 0.7500

Results
* distance to the lowest polymorph of the same formula: 0.2410 eV per atom
* E_form: 171 kJ/mol of formula units

[12]
Here is a relaxed FeBiSbS4 crystal from the Alexandria database. Energies are from GGA-PBE.

a = 3.6709 Å, b = 11.5040 Å, c = 13.8709 Å
α = 90.00°, β = 90.00°, γ = 90.00°
Fractional coordinates of all 28 atoms:
1 Bi 0.7500 0.0280 0.3893
2 Bi 0.7500 0.5280 0.1107
3 Bi 0.2500 0.9720 0.6107
4 Bi 0.2500 0.4720 0.8893
5 S 0.2500 0.7364 0.0126
6 S 0.2500 0.0620 0.9028
7 S 0.7500 0.7636 0.5126
8 S 0.2500 0.7797 0.7127
9 S 0.2500 0.2797 0.7873
10 S 0.2500 0.8947 0.3063
11 S 0.7500 0.2636 0.9874
12 S 0.2500 0.5620 0.5972
13 S 0.7500 0.7203 0.2127
14 S 0.7500 0.9380 0.0972
15 S 0.7500 0.1053 0.6937
16 S 0.7500 0.2203 0.2873
17 S 0.2500 0.2364 0.4874
18 S 0.7500 0.4380 0.4028
19 S 0.2500 0.3947 0.1937
20 S 0.7500 0.6053 0.8063
21 Fe 0.7500 0.1691 0.8429
22 Fe 0.2500 0.8309 0.1571
23 Fe 0.2500 0.3309 0.3429
24 Fe 0.7500 0.6691 0.6571
25 Sb 0.2500 0.6476 0.4225
26 Sb 0.7500 0.3524 0.5775
27 Sb 0.2500 0.1476 0.0775
28 Sb 0.7500 0.8524 0.9225

Results
* ΔE_f (raw): -0.20 eV per atom

Here are the calculated energy numbers, same order: -25.59; -25.81; -3.20; -99.42; -102.69; -42.90; -22.34; -85.03; -20.26; -122.10; -38.21; -137.59 (eV for the cell shown).